<a>
{
  "formula": "NaCd6In2",
  "functional": "PBE-GGA",
  "state": "relaxed",
  "spacegroup": "P4_2/mnm, No. 136",
  "lattice_angstrom": [[4.5062, 0.0000, -0.0004], [0.0000, 9.7567, 0.0000], [0.0005, 0.0000, 9.7578]],
  "species": ["Na", "In", "Cd", "In", "Cd", "Cd", "Cd", "Na", "Cd", "Cd", "Cd", "Cd", "In", "Cd", "Cd", "Cd", "Cd", "In"],
  "fractional_positions": [[0.5000, 0.5000, 0.0000], [0.0000, 0.6678, 0.1678], [0.5000, 0.5012, 0.6628], [0.0000, 0.3322, 0.8322], [0.0000, 0.9988, 0.1628], [0.5000, 0.4988, 0.3372], [0.5000, 0.1628, 0.0011], [0.0000, 0.0000, 0.5000], [0.5000, 0.1695, 0.6694], [0.0000, 0.3305, 0.1694], [0.0000, 0.6695, 0.8306], [0.0000, 0.6628, 0.4989], [0.5000, 0.1678, 0.3322], [0.0000, 0.3372, 0.5011], [0.5000, 0.8372, 0.9989], [0.0000, 0.0012, 0.8372], [0.5000, 0.8305, 0.3306], [0.5000, 0.8322, 0.6678]]
}

***

<b>
{
  "formula": "NaCd6In2",
  "functional": "PBE-GGA",
  "state": "relaxed",
  "spacegroup": "C2/m, No. 12",
  "lattice_angstrom": [[-3.3817, 4.3759, 1.6213], [-0.1124, 4.0002, 8.2052], [2.6927, 7.6664, 4.1611]],
  "species": ["Cd", "In", "Cd", "Cd", "Cd", "In", "Na", "Cd", "Cd"],
  "fractional_positions": [[0.6767, 0.0474, 0.5436], [0.0777, 0.3956, 0.3956], [0.5000, 0.7585, 0.2414], [0.3233, 0.9526, 0.4564], [0.5000, 0.2414, 0.7585], [0.9223, 0.6044, 0.6044], [0.0000, 0.0000, 0.0000], [0.3233, 0.4564, 0.9526], [0.6767, 0.5436, 0.0474]]
}

***

Short version: <a> is the most stable of them.

***

<a>
{
  "formula": "NaCd3In3",
  "functional": "PBE-GGA",
  "state": "relaxed",
  "spacegroup": "P6_3/m, No. 176",
  "lattice_angstrom": [[-2.1487, -2.0036, 4.3652], [0.8659, -8.0796, -3.2822], [6.4543, 3.5012, 4.7840]],
  "species": ["Na", "In", "Cd", "In", "Cd", "In", "Cd", "Cd", "In", "Na", "Cd", "In", "In", "Cd"],
  "fractional_positions": [[0.7500, 0.3333, 0.6667], [0.7500, 0.4694, 0.3784], [0.7500, 0.7691, 0.8112], [0.2500, 0.5306, 0.6216], [0.2500, 0.8112, 0.0421], [0.7500, 0.6216, 0.0910], [0.2500, 0.9579, 0.7691], [0.2500, 0.2309, 0.1888], [0.2500, 0.0910, 0.4694], [0.2500, 0.6667, 0.3333], [0.7500, 0.1888, 0.9579], [0.7500, 0.9090, 0.5306], [0.2500, 0.3784, 0.9090], [0.7500, 0.0421, 0.2309]]
}

***

<b>
{
  "formula": "NaCd3In3",
  "functional": "PBE-GGA",
  "state": "relaxed",
  "spacegroup": "Pm-3n, No. 223",
  "lattice_angstrom": [[8.1096, 0.0000, 0.0000], [0.0000, 8.1096, 0.0000], [0.0000, 0.0000, 8.1096]],
  "species": ["Na", "In", "Cd", "Cd", "Cd", "Cd", "Na", "Cd", "In", "Cd", "In", "In", "In", "In"],
  "fractional_positions": [[0.0000, 0.0000, 0.0000], [0.2500, 0.0000, 0.5000], [0.7500, 0.5000, 0.0000], [0.5000, 0.0000, 0.7500], [0.0000, 0.2500, 0.5000], [0.0000, 0.7500, 0.5000], [0.5000, 0.5000, 0.5000], [0.2500, 0.5000, 0.0000], [0.5000, 0.7500, 0.0000], [0.5000, 0.0000, 0.2500], [0.5000, 0.2500, 0.0000], [0.0000, 0.5000, 0.7500], [0.7500, 0.0000, 0.5000], [0.0000, 0.5000, 0.2500]]
}

***

<c>
{
  "formula": "NaCd3In3",
  "functional": "PBE-GGA",
  "state": "relaxed",
  "spacegroup": "Fm-3m, No. 225",
  "lattice_angstrom": [[-6.6376, -0.5021, -7.2971], [0.0032, -7.7240, -6.1561], [-7.2965, -6.6446, 0.4095]],
  "species": ["In", "Cd", "Cd", "In", "Cd", "Cd", "Na", "Cd", "Cd", "Na", "In", "In", "In", "In"],
  "fractional_positions": [[0.3470, 0.6530, 0.6530], [0.8484, 0.1516, 0.1516], [0.8484, 0.1516, 0.8484], [0.3470, 0.6530, 0.3470], [0.1516, 0.8484, 0.1516], [0.1516, 0.8484, 0.8484], [0.7500, 0.7500, 0.7500], [0.1516, 0.1516, 0.8484], [0.8484, 0.8484, 0.1516], [0.2500, 0.2500, 0.2500], [0.6530, 0.3470, 0.6530], [0.6530, 0.6530, 0.3470], [0.6530, 0.3470, 0.3470], [0.3470, 0.3470, 0.6530]]
}

***

Short version: <a> is the most stable of them.

***

<a>
{
  "formula": "NaCd9In2",
  "functional": "PBE-GGA",
  "state": "relaxed",
  "spacegroup": "P6/mmm, No. 191",
  "lattice_angstrom": [[-0.2451, -2.1641, -2.2617], [2.4606, -7.3920, 6.8065], [-9.9043, 2.6212, -1.4349]],
  "species": ["Cd", "In", "Cd", "Cd", "Cd", "Cd", "Cd", "Cd", "In", "Cd", "Cd", "Na"],
  "fractional_positions": [[0.5000, 0.8303, 0.1697], [0.0000, 0.3333, 0.6667], [0.5000, 0.6605, 0.8303], [0.5000, 0.8303, 0.6605], [0.0000, 0.5000, 0.0000], [0.0000, 0.5000, 0.5000], [0.5000, 0.1697, 0.3395], [0.5000, 0.1697, 0.8303], [0.0000, 0.6667, 0.3333], [0.5000, 0.3395, 0.1697], [0.0000, 0.0000, 0.5000], [0.0000, 0.0000, 0.0000]]
}

***

<b>
{
  "formula": "NaCd9In2",
  "functional": "PBE-GGA",
  "state": "relaxed",
  "spacegroup": "R-3m, No. 166",
  "lattice_angstrom": [[-3.3924, -2.7551, 4.0513], [2.4873, -3.7184, 3.9369], [1.0350, 5.2680, 8.8320]],
  "species": ["Cd", "Cd", "Cd", "Cd", "In", "In", "Cd", "Cd", "Cd", "Cd", "Na", "Cd"],
  "fractional_positions": [[0.4124, 0.9196, 0.2556], [0.5876, 0.0804, 0.7444], [0.5000, 0.5000, 0.5000], [0.4124, 0.4124, 0.2556], [0.8560, 0.8560, 0.4319], [0.1440, 0.1440, 0.5681], [0.5876, 0.5876, 0.7444], [0.3337, 0.3337, 0.9990], [0.9196, 0.4124, 0.2556], [0.6663, 0.6663, 0.0010], [0.0000, 0.0000, 0.0000], [0.0804, 0.5876, 0.7444]]
}

***

Short version: <b> is the most stable of them.

***

<a>
{
  "formula": "NaCd2In8",
  "functional": "PBE-GGA",
  "state": "relaxed",
  "spacegroup": "C2/m, No. 12",
  "lattice_angstrom": [[-2.8894, 1.5333, -3.4064], [-5.3967, -4.8516, 2.3939], [0.3662, 6.3973, 5.8427]],
  "species": ["In", "In", "In", "In", "In", "In", "Cd", "Na", "In", "Cd", "In"],
  "fractional_positions": [[0.9519, 0.2722, 0.9038], [0.0481, 0.7278, 0.0962], [0.1418, 0.1885, 0.2836], [0.4061, 0.5420, 0.8122], [0.8582, 0.8115, 0.7164], [0.5939, 0.4580, 0.1878], [0.7729, 0.3671, 0.5457], [0.5000, 0.0000, 0.0000], [0.6819, 0.9112, 0.3638], [0.2271, 0.6329, 0.4543], [0.3181, 0.0888, 0.6362]]
}

***

<b>
{
  "formula": "NaCd2In8",
  "functional": "PBE-GGA",
  "state": "relaxed",
  "spacegroup": "C2/m, No. 12",
  "lattice_angstrom": [[-1.8825, 3.3111, -3.9433], [-8.4444, 1.8116, -0.3627], [-3.1598, 6.7366, 4.2075]],
  "species": ["In", "In", "In", "In", "In", "In", "Cd", "Na", "In", "In", "Cd"],
  "fractional_positions": [[0.8604, 0.3267, 0.7579], [0.5000, 0.7791, 0.4417], [0.1396, 0.9154, 0.7579], [0.3190, 0.4082, 0.0000], [0.1396, 0.6733, 0.2421], [0.8604, 0.0846, 0.2421], [0.0000, 0.6831, 0.6337], [0.5000, 0.0000, 0.0000], [0.5000, 0.2209, 0.5583], [0.6810, 0.5918, 0.0000], [0.0000, 0.3169, 0.3663]]
}

***

Short version: <a> is the most stable of them.

***

<a>
{
  "formula": "NaCd4In6",
  "functional": "PBE-GGA",
  "state": "relaxed",
  "spacegroup": "P-6m2, No. 187",
  "lattice_angstrom": [[4.6690, 0.0000, 0.0000], [0.0000, 8.6426, 0.0000], [0.0000, -4.3213, 7.4847]],
  "species": ["Cd", "In", "Cd", "Cd", "Cd", "Na", "In", "In", "In", "In", "In"],
  "fractional_positions": [[0.5000, 0.4031, 0.2016], [0.5000, 0.1957, 0.3914], [0.0000, 0.3333, 0.6667], [0.5000, 0.7984, 0.2016], [0.5000, 0.7984, 0.5969], [0.0000, 0.0000, 0.0000], [0.5000, 0.1957, 0.8043], [0.5000, 0.6086, 0.8043], [0.0000, 0.5320, 0.0640], [0.0000, 0.5320, 0.4680], [0.0000, 0.9360, 0.4680]]
}

***

<b>
{
  "formula": "NaCd4In6",
  "functional": "PBE-GGA",
  "state": "relaxed",
  "spacegroup": "Cm, No. 8",
  "lattice_angstrom": [[5.8419, -0.6733, -2.2284], [-3.2801, 8.3377, -4.1759], [0.4405, -1.2807, 6.9443]],
  "species": ["In", "In", "In", "In", "Cd", "Cd", "Cd", "Na", "Cd", "In", "In"],
  "fractional_positions": [[0.4904, 0.8027, 0.4839], [0.5330, 0.1956, 0.0000], [0.0138, 0.6611, 0.0000], [0.4994, 0.5066, 0.5373], [0.4710, 0.8689, 0.0000], [0.9393, 0.6361, 0.4343], [0.5050, 0.2018, 0.5657], [0.0225, 0.9990, 0.0000], [0.0571, 0.3404, 0.0000], [0.9621, 0.9693, 0.4627], [0.0065, 0.3188, 0.5161]]
}

***

Short version: <a> is the most stable of them.

***

<a>
{
  "formula": "Na7Cd3In",
  "functional": "PBE-GGA",
  "state": "relaxed",
  "spacegroup": "P3m1, No. 156",
  "lattice_angstrom": [[7.9109, 0.0000, 0.0000], [0.0000, 7.0379, 0.0000], [0.0000, -3.5190, 6.0950]],
  "species": ["Na", "Na", "In", "Cd", "Cd", "Cd", "Na", "Na", "Na", "Na", "Na"],
  "fractional_positions": [[0.1039, 0.1686, 0.8314], [0.1039, 0.1686, 0.3372], [0.4570, 0.3333, 0.6667], [0.7799, 0.0157, 0.5078], [0.7799, 0.4922, 0.9843], [0.7799, 0.4922, 0.5078], [0.0817, 0.6667, 0.3333], [0.4750, 0.3303, 0.1652], [0.1039, 0.6628, 0.8314], [0.4750, 0.8348, 0.1652], [0.4750, 0.8348, 0.6697]]
}

***

<b>
{
  "formula": "Na7Cd3In",
  "functional": "PBE-GGA",
  "state": "relaxed",
  "spacegroup": "Cmcm, No. 63",
  "lattice_angstrom": [[1.6395, -12.9465, 0.0000], [1.6395, 12.9465, 0.0000], [0.0000, 0.0000, 15.2796]],
  "species": ["Na", "Na", "Cd", "Na", "Na", "Na", "Cd", "Na", "Na", "Na", "Na", "Cd", "Na", "Na", "In", "Na", "Na", "Cd", "Cd", "Na", "Cd", "In"],
  "fractional_positions": [[0.4435, 0.5565, 0.3679], [0.5565, 0.4435, 0.8679], [0.1581, 0.8419, 0.9390], [0.2792, 0.7208, 0.8996], [0.5887, 0.4113, 0.4128], [0.3170, 0.6830, 0.2500], [0.1581, 0.8419, 0.5610], [0.7208, 0.2792, 0.3996], [0.4435, 0.5565, 0.1321], [0.7208, 0.2792, 0.1004], [0.2792, 0.7208, 0.6004], [0.1539, 0.8461, 0.2500], [0.5887, 0.4113, 0.0872], [0.4113, 0.5887, 0.9128], [0.0312, 0.9688, 0.2500], [0.6830, 0.3170, 0.7500], [0.4113, 0.5887, 0.5872], [0.8419, 0.1581, 0.0610], [0.8461, 0.1539, 0.7500], [0.5565, 0.4435, 0.6321], [0.8419, 0.1581, 0.4390], [0.9688, 0.0312, 0.7500]]
}

***

Short version: <b> is the most stable of them.